No. 1
# GaPPdO | OQMD | PBE | optimized geometry
data_GaPPdO
_space_group_name_H-M_alt 'P 1'
_space_group_IT_number 1
_cell_length_a 3.077
_cell_length_b 6.323
_cell_length_c 6.284
_cell_angle_alpha 90.00
_cell_angle_beta 90.00
_cell_angle_gamma 90.00
loop_
_space_group_symop_operation_xyz
'x,y,z'
loop_
_atom_site_label
_atom_site_fract_x
_atom_site_fract_y
_atom_site_fract_z
O1 0.500 0.595 0.902
P1 0.000 0.093 0.819
O2 0.500 0.405 0.402
P2 0.000 0.907 0.319
Pd1 0.500 0.770 0.557
Pd2 0.500 0.230 0.057
Ga1 0.000 0.745 0.976
Ga2 0.000 0.255 0.476
# * symmetry: Pmc2_1 (26)

***

No. 2
# GaPPtO | OQMD | PBE | optimized geometry
data_GaPPtO
_space_group_name_H-M_alt 'P 1'
_space_group_IT_number 1
_cell_length_a 3.061
_cell_length_b 6.793
_cell_length_c 6.390
_cell_angle_alpha 90.00
_cell_angle_beta 90.00
_cell_angle_gamma 90.00
loop_
_space_group_symop_operation_xyz
'x,y,z'
loop_
_atom_site_label
_atom_site_fract_x
_atom_site_fract_y
_atom_site_fract_z
Pt1 0.500 0.749 0.058
P1 0.000 0.621 0.838
Ga1 0.000 0.290 0.973
Ga2 0.000 0.710 0.473
Pt2 0.500 0.251 0.558
O1 0.500 0.851 0.384
O2 0.500 0.149 0.884
P2 0.000 0.379 0.338
# * symmetry: Pmc2_1 (26)

***

No. 3
# GaPPtO | OQMD | PBE | optimized geometry
data_GaPPtO
_space_group_name_H-M_alt 'P 1'
_space_group_IT_number 1
_cell_length_a 4.034
_cell_length_b 4.034
_cell_length_c 8.236
_cell_angle_alpha 90.00
_cell_angle_beta 90.00
_cell_angle_gamma 90.00
loop_
_space_group_symop_operation_xyz
'x,y,z'
loop_
_atom_site_label
_atom_site_fract_x
_atom_site_fract_y
_atom_site_fract_z
Pt1 0.000 0.500 0.068
Ga1 0.000 0.000 0.500
P1 0.000 0.500 0.675
Ga2 0.500 0.500 0.500
P2 0.500 0.000 0.325
Pt2 0.500 0.000 0.932
O1 0.500 0.500 0.000
O2 0.000 0.000 0.000
# * symmetry: P4/nmm (129)

***

No. 4
# GaPPtO | OQMD | PBE | optimized geometry
data_GaPPtO
_space_group_name_H-M_alt 'P 1'
_space_group_IT_number 1
_cell_length_a 3.966
_cell_length_b 7.131
_cell_length_c 4.694
_cell_angle_alpha 90.00
_cell_angle_beta 90.00
_cell_angle_gamma 90.00
loop_
_space_group_symop_operation_xyz
'x,y,z'
loop_
_atom_site_label
_atom_site_fract_x
_atom_site_fract_y
_atom_site_fract_z
Pt1 0.500 0.616 0.424
Ga1 0.000 0.864 0.008
Ga2 0.000 0.136 0.508
Pt2 0.500 0.384 0.924
O1 0.000 0.883 0.410
P1 0.500 0.698 0.912
O2 0.000 0.117 0.910
P2 0.500 0.302 0.412
# * symmetry: Pmc2_1 (26)

***

In order of appearance, raw total energy = -5.25; -5.46; -4.68; -5.48 eV per atom.
In order of appearance, V = 15.3; 16.6; 16.8; 16.6 Å³ per atom.